a:
## Hf3Pb4Au4 (PBE-GGA)

Data for a relaxed structure of Hf3Pb4Au4.

Values from the calculation:
* theoretical density: 13.73 Mg/m³
* V: 23.66 Å³/atom

Geometry as extended XYZ:
```
11
Lattice="-3.9847 -3.1607 5.2259 3.4107 -2.8587 0.8716 2.9729 5.1267 5.1806" Properties=species:S:1:pos:R:3 pbc="T T T"
Pb -1.2420 -1.3157 6.4430
Pb 0.2717 -1.1225 1.1536
Pb 3.7234 0.5030 4.7751
Pb 2.1211 0.1110 9.7590
Au -1.2591 -2.1895 3.6446
Au 0.8690 0.4060 3.8294
Au 1.4926 -1.3601 7.3939
Au 3.7616 1.3706 7.4710
Hf 1.4028 -2.2782 4.7342
Hf 0.9029 1.2689 6.5267
Hf 3.1034 -0.9836 2.3256
```

=====

b:
## Hf3Pb4Au4 (PBE-GGA)

Data for a relaxed structure of Hf3Pb4Au4.

Values from the calculation:
* theoretical density: 12.70 Mg/m³
* V: 25.59 Å³/atom

Geometry as extended XYZ:
```
11
Lattice="0.0000 6.5695 0.0000 -6.5695 0.0000 0.0000 -3.2848 3.2848 6.5218" Properties=species:S:1:pos:R:3 pbc="T T T"
Hf -6.5695 3.2848 3.2609
Hf -3.2848 3.2848 0.0000
Hf -3.2848 6.5695 3.2609
Au -8.0734 8.0734 4.8272
Au -4.7887 1.7808 1.6946
Au -1.7808 4.7887 1.6946
Au -5.0656 5.0656 4.8272
Pb -6.5695 6.5695 2.9045
Pb -3.2848 0.0000 0.0000
Pb -3.2848 3.2848 3.6173
Pb 0.0000 3.2848 0.0000
```

=====

Ordering by calculated energy gives the sequence b, a, with the first entry being the most stable.

=====

a:
## RbHfTe4Au3 (PBE-GGA)

Data for a relaxed structure of RbHfTe4Au3.

Values from the calculation:
* theoretical density: 7.15 Mg/m³
* V: 35.23 Å³/atom

Geometry as extended XYZ:
```
9
Lattice="6.8189 0.0000 0.0000 0.0000 6.8189 0.0000 0.0000 0.0000 6.8189" Properties=species:S:1:pos:R:3 pbc="T T T"
Au 3.4095 3.4095 0.0000
Au 3.4095 0.0000 3.4095
Au 0.0000 3.4095 3.4095
Te 1.8485 1.8485 1.8485
Te 4.9705 4.9705 1.8485
Te 4.9705 1.8485 4.9705
Te 1.8485 4.9705 4.9705
Rb 0.0000 0.0000 0.0000
Hf 3.4095 3.4095 3.4095
```

=====

b:
## RbHfTe4Au3 (PBE-GGA)

Data for a relaxed structure of RbHfTe4Au3.

Values from the calculation:
* theoretical density: 8.11 Mg/m³
* V: 31.07 Å³/atom

Geometry as extended XYZ:
```
18
Lattice="6.5703 0.0000 0.0000 0.0000 8.2177 0.0000 -2.8962 0.0000 10.3589" Properties=species:S:1:pos:R:3 pbc="T T T"
Au 0.5002 7.8317 5.5349
Au 0.5002 4.4948 5.5349
Au 3.6971 2.0544 7.1304
Au 3.1740 3.7229 4.8240
Au -0.0229 6.1633 3.2285
Au 3.1740 0.3860 4.8240
Te -1.3494 2.0544 9.4667
Te 1.6978 3.9599 2.5540
Te 1.9763 4.2577 7.8049
Te 1.9763 8.0688 7.8049
Te 4.7009 6.1633 5.4753
Te 1.6978 0.1489 2.5540
Te 5.0235 6.1633 0.8922
Te -1.0268 2.0544 4.8836
Hf 3.3289 6.1633 3.0076
Hf 0.3453 2.0544 7.3513
Rb 4.9240 2.0544 1.1184
Rb -1.2498 6.1633 9.2405
```

=====

Ordering by calculated energy gives the sequence b, a, with the first entry being the most stable.

=====

a:
## HfTlAu3S4 (PBE-GGA)

Data for a relaxed structure of HfTlAu3S4.

Values from the calculation:
* theoretical density: 7.63 Mg/m³
* V: 26.64 Å³/atom

Geometry as extended XYZ:
```
9
Lattice="6.2121 0.0000 0.0000 0.0000 6.2121 0.0000 0.0000 0.0000 6.2121" Properties=species:S:1:pos:R:3 pbc="T T T"
Hf 0.0000 0.0000 0.0000
S 4.8196 1.3924 1.3924
S 4.8196 4.8196 4.8196
S 1.3924 4.8196 1.3924
S 1.3924 1.3924 4.8196
Au 0.0000 3.1060 0.0000
Au 3.1060 0.0000 0.0000
Au 0.0000 0.0000 3.1060
Tl 3.1060 3.1060 3.1060
```

=====

b:
## HfTlAu3S4 (PBE-GGA)

Data for a relaxed structure of HfTlAu3S4.

Values from the calculation:
* theoretical density: 7.97 Mg/m³
* V: 25.53 Å³/atom

Geometry as extended XYZ:
```
18
Lattice="-0.2107 -5.3647 -2.2253 -2.0146 -2.7973 6.9344 -9.7700 3.4146 -1.4610" Properties=species:S:1:pos:R:3 pbc="T T T"
S -3.6804 -4.9083 1.3455
S -7.3406 1.5138 -1.4512
S -4.6547 -6.2612 4.6993
S -5.5526 -1.5658 -0.0828
S -6.4427 -3.1816 3.3308
S -10.7447 -2.4540 2.3745
S -8.3149 0.1609 1.9025
S -1.2506 -2.2934 0.8735
Tl -9.1794 -1.3130 -1.0345
Tl -2.8159 -3.4344 4.2825
Au -7.0052 -4.1111 1.1544
Au -9.9344 -4.5809 1.7520
Au -4.2269 0.4233 -0.5333
Au -7.7684 -5.1708 3.7813
Au -4.9900 -0.6363 2.0936
Au -2.0608 -0.1666 1.4961
Hf -3.4042 -2.8858 0.0089
Hf -8.5911 -1.8616 3.2392
```

=====

Ordering by calculated energy gives the sequence a, b, with the first entry being the most stable.

=====

a:
## Hf3Zr3Sb2Au (PBE-GGA)

Data for a relaxed structure of Hf3Zr3Sb2Au.

Values from the calculation:
* theoretical density: 10.53 Mg/m³
* V: 21.89 Å³/atom

Geometry as extended XYZ:
```
9
Lattice="-6.4297 -2.7239 -3.4093 6.0728 -4.7066 1.1633 -1.3843 -0.9527 3.3720" Properties=species:S:1:pos:R:3 pbc="T T T"
Zr -0.2120 -4.4130 -1.3339
Zr -2.6111 -1.1062 -1.3845
Zr 2.4662 -1.9114 0.4724
Sb -2.9544 -3.8612 -0.1991
Sb 1.2131 -4.5221 1.3251
Hf -0.7825 -2.3570 1.1175
Hf 3.8436 -3.9918 2.5549
Hf -5.4946 -2.5109 -0.8605
Au 0.0000 0.0000 0.0000
```

=====

b:
## Hf3Zr3Sb2Au (PBE-GGA)

Data for a relaxed structure of Hf3Zr3Sb2Au.

Values from the calculation:
* theoretical density: 10.49 Mg/m³
* V: 21.98 Å³/atom

Geometry as extended XYZ:
```
9
Lattice="7.8029 0.0000 0.0000 -3.9014 6.7575 0.0000 0.0000 0.0000 3.7517" Properties=species:S:1:pos:R:3 pbc="T T T"
Sb 0.0000 4.5050 1.8759
Sb 3.9014 2.2525 1.8759
Zr -2.8969 5.0176 1.8759
Zr 1.0046 1.7399 1.8759
Zr 5.7938 0.0000 1.8759
Hf 2.3261 4.0289 0.0000
Hf -1.5753 2.7286 0.0000
Hf 3.1507 0.0000 0.0000
Au 0.0000 0.0000 0.0000
```

=====

Ordering by calculated energy gives the sequence a, b, with the first entry being the most stable.